No. 1
GGA-PBE CrPtRh2, optimized geometry; final energy = -7.72 eV per atom
1.0
4.696 0.018 -0.015
1.540 4.436 0.015
-3.109 -2.239 2.715
Cr Pt Rh
1 1 2
Direct
0.750 0.250 0.500
0.250 0.750 0.500
0.000 0.000 0.000
0.500 0.500 0.000

=====

No. 2
GGA-PBE CrPtRh, optimized geometry; final energy = -7.81 eV per atom
1.0
-5.028 -0.703 5.232
6.902 -1.961 1.291
1.106 5.037 1.740
Rh Cr Pt
6 6 6
Direct
0.987 0.628 0.750
0.641 0.013 0.750
0.372 0.359 0.750
0.628 0.987 0.250
0.013 0.641 0.250
0.359 0.372 0.250
0.000 0.000 0.750
0.000 0.000 0.250
0.333 0.667 0.974
0.333 0.667 0.526
0.667 0.333 0.026
0.667 0.333 0.474
0.000 0.299 0.000
0.299 0.000 0.000
0.701 0.701 0.000
0.000 0.299 0.500
0.299 0.000 0.500
0.701 0.701 0.500

=====

No. 3
GGA-PBE CrPt2Rh, optimized geometry; final energy = -7.41 eV per atom
1.0
-1.588 -2.432 -2.451
1.901 0.646 -1.872
5.175 -3.429 0.050
Cr Pt Rh
1 2 1
Direct
0.500 0.759 0.741
0.000 0.012 0.988
0.500 0.243 0.257
0.000 0.486 0.514

=====

Number 1: energy of formation -132 meV/atom, D(E_F) 1.239 states/eV/atom. Number 2: energy of formation -138 meV/atom, D(E_F) 0.991 states/eV/atom. Number 3: energy of formation -147 meV/atom, D(E_F) 1.064 states/eV/atom.